# 1
First-principles (GGA-PBE) data for a relaxed Hf2CrTe crystal, as listed in Alexandria via LeMat-Bulk.

Summary:
Energy relative to the elements, uncorrected (eV per formula unit): 0.99
Crystal system: cubic

Unit cell a=6.7968 b=6.7968 c=6.7968 alpha=90.00 beta=90.00 gamma=90.00
Closest atoms and distances in Å follow each position.
Space group Fm-3m (No. 225)
One atom of each set of equivalent atoms:
Hf: 0.2500 0.2500 0.2500 [8 per cell]  4 Cr 2.94, 4 Te 2.94
Cr: 0.0000 0.0000 0.0000 [4 per cell]  8 Hf 2.94
Te: 0.0000 0.0000 0.5000 [4 per cell]  8 Hf 2.94

=====

# 2
First-principles (GGA-PBE) data for a relaxed Hf3CrTe8 crystal, as listed in Alexandria via LeMat-Bulk.

Summary:
Energy relative to the elements, uncorrected (eV per formula unit): -7.87
Crystal system: monoclinic

Unit cell a=13.4988 b=7.7912 c=8.8689 alpha=90.00 beta=121.63 gamma=90.00
Closest atoms and distances in Å follow each position.
Space group C2/m (No. 12)
One atom of each set of equivalent atoms:
Hf: 0.0000 0.0000 0.0000 [2 per cell]  6 Te 2.88-2.89
Hf: 0.2500 0.2500 0.0000 [4 per cell]  6 Te 2.88-2.89
Cr: 0.0000 0.5000 0.0000 [2 per cell]  6 Te 2.78
Te: 0.0006 0.2593 0.7688 [8 per cell]  1 Cr 2.78, 2 Hf 2.88
Te: 0.2400 0.5000 0.2312 [4 per cell]  1 Cr 2.78, 2 Hf 2.88
Te: 0.2495 0.0000 0.2406 [4 per cell]  3 Hf 2.89

=====

# 3
First-principles (GGA-PBE) data for a relaxed HfCrTe3 crystal, as listed in Alexandria via LeMat-Bulk.

Summary:
Energy relative to the elements, uncorrected (eV per formula unit): 2.33
Crystal system: cubic

Unit cell a=5.1362 b=5.1362 c=5.1362 alpha=90.00 beta=90.00 gamma=90.00
Closest atoms and distances in Å follow each position.
Space group Pm-3m (No. 221)
One atom of each set of equivalent atoms:
Hf: 0.0000 0.0000 0.0000 [1 per cell]  12 Te 3.63
Cr: 0.5000 0.5000 0.5000 [1 per cell]  6 Te 2.57
Te: 0.0000 0.5000 0.5000 [3 per cell]  2 Cr 2.57

=====

# 4
First-principles (GGA-PBE) data for a relaxed HfCrTe2 crystal, as listed in Alexandria via LeMat-Bulk.

Summary:
Energy relative to the elements, uncorrected (eV per formula unit): 0.24
Crystal system: tetragonal

Unit cell a=6.4444 b=6.4444 c=12.4425 alpha=90.00 beta=90.00 gamma=90.00
Closest atoms and distances in Å follow each position.
Space group I-42d (No. 122)
One atom of each set of equivalent atoms:
Hf: 0.0000 0.0000 0.0000 [4 per cell]  4 Te 2.79
Cr: 0.0000 0.0000 0.5000 [4 per cell]  4 Te 2.72
Te: 0.2406 0.2500 0.6250 [8 per cell]  2 Cr 2.72, 2 Hf 2.79